A geometry-optimized Li2ZrAg structure. Source: the Alexandria database, functional GGA-PBEsol.

Size of the total moment: 0.000 μB/f.u.
Space-group type: Cmmm (65)
Calculated formation energy: 0.047 eV per atom
Energy relative to the lowest polymorph listed for this composition: 0 kJ/mol of formula units

Cell lengths 2.8529, 2.8529, 9.6464 Å; angles 90.00, 90.00, 114.18 degrees
Last column: nearest neighbours and their distance in Å.
Positions (direct):
Li  0.0000  0.0000  0.7747  2 Ag 2.67, 4 Li 2.85
Li  0.0000  0.0000  0.2253  2 Ag 2.67, 4 Li 2.85
Ag  0.5000  0.5000  0.0000  4 Li 2.67, 4 Ag 2.85
Zr  0.5000  0.5000  0.5000  6 Zr 2.85-3.10, 4 Li 3.07

A geometry-optimized Li2ZrAg structure. Source: the Alexandria database, functional GGA-PBEsol.

Size of the total moment: 0.001 μB/f.u.
Space-group type: Fm-3m (225)
Calculated formation energy: 0.234 eV per atom
Energy relative to the lowest polymorph listed for this composition: 72 kJ/mol of formula units

Cell lengths 4.4897, 4.4897, 4.4897 Å; angles 60.00, 60.00, 60.00 degrees
Last column: nearest neighbours and their distance in Å.
Positions (direct):
Ag  0.0000  0.0000  0.0000  8 Li 2.75
Li  0.2500  0.2500  0.2500  4 Zr 2.75, 4 Ag 2.75
Li  0.7500  0.7500  0.7500  4 Zr 2.75, 4 Ag 2.75
Zr  0.5000  0.5000  0.5000  8 Li 2.75

A geometry-optimized LiZr2Ag structure. Source: the Alexandria database, functional GGA-PBEsol.

Size of the total moment: 2.132 μB/f.u.
Space-group type: F-43m (216)
Calculated formation energy: 0.313 eV per atom
Energy relative to the lowest polymorph listed for this composition: 133 kJ/mol of formula units

Cell lengths 4.7565, 4.7565, 4.7565 Å; angles 60.00, 60.00, 60.00 degrees
Last column: nearest neighbours and their distance in Å.
Positions (direct):
Ag  0.5000  0.5000  0.5000  4 Zr 2.91, 4 Li 2.91
Zr  0.0000  0.0000  0.0000  4 Li 2.91, 4 Zr 2.91
Zr  0.7500  0.7500  0.7500  4 Zr 2.91, 4 Ag 2.91
Li  0.2500  0.2500  0.2500  4 Zr 2.91, 4 Ag 2.91

A geometry-optimized LiZr2Ag structure. Source: the Alexandria database, functional GGA-PBEsol.

Size of the total moment: 0.000 μB/f.u.
Space-group type: Pmmm (47)
Calculated formation energy: 0.102 eV per atom
Energy relative to the lowest polymorph listed for this composition: 52 kJ/mol of formula units

Cell lengths 3.4963, 4.5099, 4.7669 Å; angles 90.00, 90.00, 90.00 degrees
Last column: nearest neighbours and their distance in Å.
Positions (direct):
Zr  0.5000  0.5000  0.0000  4 Zr 2.85, 4 Li 2.96
Zr  0.0000  0.0000  0.0000  4 Zr 2.85, 4 Ag 2.96
Ag  0.5000  0.0000  0.5000  4 Li 2.85, 4 Zr 2.96
Li  0.0000  0.5000  0.5000  4 Ag 2.85, 4 Zr 2.96